Entry 1:
Pr2Pu3Ru2 | PBE-GGA | optimized geometry

calculated density = 11.3 g/cm3
uncorrected energy = -10.26 eV/atom
spin magnetization = 2.3349 μB/atom
SG = C2/m (12)

Geometry as POSCAR:
```
Pr2Pu3Ru2
1.0
3.932 0.000 0.000
-1.966 5.309 -2.288
0.000 0.060 8.531
Pr Pu Ru
2 3 2
Direct
0.840 0.679 0.196
0.160 0.321 0.804
0.379 0.757 0.564
0.621 0.243 0.436
0.500 0.000 0.000
0.134 0.268 0.221
0.866 0.732 0.779
```

---

Entry 2:
Pr3PuRu | PBE-GGA | optimized geometry

calculated density = 7.4 g/cm3
uncorrected energy = -7.42 eV/atom
spin magnetization = 1.4017 μB/atom
SG = Pm-3m (221)

Geometry as POSCAR:
```
Pr3PuRu
1.0
5.562 0.000 0.000
0.000 5.562 0.000
0.000 0.000 5.562
Pu Pr Ru
1 3 1
Direct
0.500 0.500 0.500
0.500 0.000 0.000
0.000 0.500 0.000
0.000 0.000 0.500
0.000 0.000 0.000
```

---

Entry 3:
PrPuRu2 | PBE-GGA | optimized geometry

calculated density = 12.0 g/cm3
uncorrected energy = -9.44 eV/atom
spin magnetization = 0.0000 μB/atom
SG = C2/m (12)

Geometry as POSCAR:
```
PrPuRu2
1.0
4.951 0.000 0.000
0.000 6.413 -1.198
0.000 -3.509 10.881
Pu Pr Ru
4 4 8
Direct
0.250 0.600 0.642
0.250 0.900 0.858
0.750 0.400 0.358
0.750 0.100 0.142
0.250 0.448 0.164
0.750 0.552 0.836
0.250 0.052 0.336
0.750 0.948 0.664
0.750 0.737 0.135
0.250 0.774 0.019
0.250 0.237 0.635
0.250 0.726 0.481
0.750 0.763 0.365
0.750 0.274 0.519
0.750 0.226 0.981
0.250 0.263 0.865
```

---

Entry 4:
PrPuRu2 | PBE-GGA | optimized geometry

calculated density = 11.8 g/cm3
uncorrected energy = -9.53 eV/atom
spin magnetization = 0.9406 μB/atom
SG = P4/mmm (123)

Geometry as POSCAR:
```
PrPuRu2
1.0
3.366 0.000 0.000
0.000 3.366 0.000
0.000 0.000 7.303
Ru Pr Pu
2 1 1
Direct
0.000 0.000 0.210
0.000 0.000 0.790
0.500 0.500 0.500
0.500 0.500 0.000
```

---

Entry 5:
PrPu2Ru9 | PBE-GGA | optimized geometry

calculated density = 12.1 g/cm3
uncorrected energy = -9.75 eV/atom
spin magnetization = 0.5937 μB/atom
SG = R-3m (166)

Geometry as POSCAR:
```
PrPu2Ru9
1.0
5.032 0.000 1.498
2.293 4.479 1.498
-0.036 -0.022 9.323
Ru Pu Pr
9 2 1
Direct
0.664 0.664 0.009
0.414 0.414 0.249
0.078 0.586 0.751
0.500 0.500 0.500
0.336 0.336 0.991
0.414 0.922 0.249
0.922 0.414 0.249
0.586 0.586 0.751
0.586 0.078 0.751
0.141 0.141 0.577
0.859 0.859 0.423
0.000 0.000 0.000
```

---

Entry 6:
PrPu2Ru | PBE-GGA | optimized geometry

calculated density = 12.1 g/cm3
uncorrected energy = -10.65 eV/atom
spin magnetization = 2.6055 μB/atom
SG = P4/mmm (123)
offset from the most stable computed form = 77 meV per atom

Geometry as POSCAR:
```
PrPu2Ru
1.0
3.469 0.000 0.000
0.000 3.469 0.000
0.000 0.000 8.356
Ru Pu Pr
1 2 1
Direct
0.500 0.500 0.000
0.000 0.000 0.809
0.000 0.000 0.191
0.500 0.500 0.500
```

---

Entry 7:
PrPuTlRu | PBE-GGA | optimized geometry

calculated density = 11.5 g/cm3
uncorrected energy = -7.85 eV/atom
spin magnetization = 1.1613 μB/atom
SG = P4mm (99)

Geometry as POSCAR:
```
PrPuTlRu
1.0
3.408 0.000 0.000
0.000 3.408 0.000
0.000 0.000 8.577
Tl Pu Pr Ru
1 1 1 1
Direct
0.000 0.000 0.082
0.500 0.500 0.370
0.500 0.500 0.778
0.000 0.000 0.554
```

---

Entry 8:
Pr2PuU2Ru5 | PBE-GGA | optimized geometry

calculated density = 12.0 g/cm3
uncorrected energy = -9.42 eV/atom
spin magnetization = 0.4756 μB/atom
SG = P4/mbm (127)

Geometry as POSCAR:
```
Pr2PuU2Ru5
1.0
3.556 0.000 0.000
0.000 10.816 0.000
0.000 0.000 10.816
Pr Ru U Pu
4 10 4 2
Direct
0.000 0.175 0.325
0.000 0.825 0.675
0.000 0.325 0.825
0.000 0.675 0.175
0.500 0.050 0.789
0.500 0.211 0.050
0.500 0.789 0.950
0.500 0.000 0.500
0.500 0.450 0.289
0.500 0.711 0.450
0.500 0.500 0.000
0.500 0.950 0.211
0.500 0.289 0.550
0.500 0.550 0.711
0.000 0.636 0.864
0.000 0.864 0.364
0.000 0.136 0.636
0.000 0.364 0.136
0.000 0.500 0.500
0.000 0.000 0.000
```

---

Entry 9:
PrPuZnRu | PBE-GGA | optimized geometry

calculated density = 10.3 g/cm3
uncorrected energy = -7.49 eV/atom
spin magnetization = 1.3527 μB/atom
SG = F-43m (216)

Geometry as POSCAR:
```
PrPuZnRu
1.0
5.015 0.000 0.000
2.507 4.343 0.000
2.507 1.448 4.094
Pu Ru Pr Zn
1 1 1 1
Direct
0.000 0.000 0.000
0.750 0.750 0.750
0.500 0.500 0.500
0.250 0.250 0.250
```

---

Entry 10:
Pr2PuZnRu2 | PBE-GGA | optimized geometry

calculated density = 9.5 g/cm3
uncorrected energy = -7.45 eV/atom
spin magnetization = 0.7795 μB/atom
SG = Ibam (72)

Geometry as POSCAR:
```
Pr2PuZnRu2
1.0
-5.509 0.623 -2.536
-1.441 -5.910 1.680
0.865 5.061 6.691
Ru Pr Pu Zn
4 4 2 2
Direct
0.165 0.889 0.777
0.612 0.389 0.777
0.835 0.111 0.223
0.388 0.611 0.223
0.387 0.174 0.349
0.039 0.326 0.651
0.961 0.674 0.349
0.613 0.826 0.651
0.500 0.750 0.000
0.500 0.250 0.000
0.000 0.250 0.000
0.000 0.750 0.000
```

---

Entry 11:
Pr3PuS4 | PBE-GGA | optimized geometry

calculated density = 6.9 g/cm3
uncorrected energy = -7.62 eV/atom
spin magnetization = 0.7219 μB/atom
SG = P2/c (13)
offset from the most stable computed form = 0 meV per atom

Geometry as POSCAR:
```
Pr3PuS4
1.0
-5.151 3.844 -2.893
-1.692 -6.845 -0.365
-3.675 0.522 7.236
Pr Pu S
6 2 8
Direct
0.250 0.500 0.876
0.750 0.500 0.626
0.750 0.500 0.124
0.250 0.500 0.374
0.750 0.000 0.374
0.250 0.000 0.626
0.250 0.000 0.123
0.750 0.000 0.877
0.501 0.241 0.879
0.499 0.759 0.121
0.005 0.753 0.371
0.495 0.247 0.371
0.505 0.753 0.629
0.999 0.759 0.879
0.995 0.247 0.629
0.001 0.241 0.121
```

---

Entry 12:
PrPuS2 | PBE-GGA | optimized geometry

calculated density = 8.1 g/cm3
uncorrected energy = -8.75 eV/atom
spin magnetization = 1.4006 μB/atom
SG = R-3m (166)
offset from the most stable computed form = 0 meV per atom

Geometry as POSCAR:
```
PrPuS2
1.0
4.021 0.013 0.014
2.000 3.488 0.014
1.985 1.154 6.625
S Pr Pu
2 1 1
Direct
0.255 0.255 0.236
0.745 0.745 0.764
0.500 0.500 0.500
0.000 0.000 0.000
```

---

- What is the formula in the sixth record?
  PrPu2Ru

---

- Look up the calculated density of the third one.
  12.0 g/cm3

---

- Among the records above, which one has the highest uncorrected energy?
  Pr3PuRu

---

- Which of these has the lowest calculated density?
  Pr3PuS4